DFT (PBE+U) results for crystalline Mn2HO at its relaxed geometry.

E_tot, eV per atom: -6.297
Polymorph energy (0 for the lowest one), eV/f.u.: 0.00

Geometry as CIF:
```
data_Mn2HO
_chemical_formula_sum 'Mn8 H4 O4'
_symmetry_space_group_name_H-M 'I -4 2 d'
_symmetry_Int_Tables_number 122
_symmetry_space_group_name_Hall 'I -4 2bw'
_cell_length_a 4.729
_cell_length_b 4.729
_cell_length_c 9.236
_cell_angle_alpha 90.00
_cell_angle_beta 90.00
_cell_angle_gamma 90.00
loop_
_atom_site_label
_atom_site_fract_x
_atom_site_fract_y
_atom_site_fract_z
_atom_site_occupancy
Mn1 0.241 0.250 0.125 1
H1 0.000 0.000 0.000 1
O1 0.000 0.000 0.500 1
```